BaFe2Rh: relaxed, GGA-PBE.

The space group is C2/m (No. 12) and the conventional cell measures 5.678, 9.114 and 3.066 Å, with angles of 90.00, 110.13 and 90.00 degrees. The distinct sites, in fractional coordinates, are Ba at (0.000, 0.000, 0.000), Fe at (0.250, 0.250, 0.500) and Rh at (0.000, 0.500, 0.000).

For the density of states at the Fermi level, the calculation gives 9.0 states/eV/cell. As for the total energy: -5.687 eV per atom. The formation energy is 0.863 eV/atom. As for the spin magnetization: 11.88 μB per cell.



BaFeRh2: relaxed, GGA-PBE.

The space group is P4/mmm (No. 123) and the conventional cell measures 3.193, 3.193 and 7.551 Å, with angles of 90.00, 90.00 and 90.00 degrees. The distinct sites, in fractional coordinates, are Ba at (0.000, 0.000, 0.000), Fe at (0.000, 0.000, 0.500) and Rh at (0.500, 0.500, 0.319).

For the density of states at the Fermi level, the calculation gives 3.6 states/eV/cell. As for the total energy: -6.068 eV per atom. The formation energy is 0.205 eV/atom. As for the spin magnetization: 4.32 μB per cell.



BaFeRh2: relaxed, GGA-PBE.

The space group is Immm (No. 71) and the conventional cell measures 3.319, 5.443 and 8.971 Å, with angles of 90.00, 90.00 and 90.00 degrees. The distinct sites, in fractional coordinates, are Ba at (0.000, 0.000, 0.000), Fe at (0.000, 0.000, 0.500) and Rh at (0.000, 0.500, 0.202).

For the density of states at the Fermi level, the calculation gives 8.0 states/eV/cell. As for the total energy: -5.813 eV per atom. The formation energy is 0.459 eV/atom. As for the spin magnetization: 7.23 μB per cell.



BaFe2Rh: relaxed, GGA-PBE.

The space group is P4/mmm (No. 123) and the conventional cell measures 4.057, 4.057 and 4.687 Å, with angles of 90.00, 90.00 and 90.00 degrees. The distinct sites, in fractional coordinates, are Ba at (0.000, 0.000, 0.000), Fe at (0.000, 0.500, 0.500) and Rh at (0.500, 0.500, 0.000).

For the density of states at the Fermi level, the calculation gives 5.1 states/eV/cell. As for the total energy: -5.722 eV per atom. The formation energy is 0.828 eV/atom. As for the spin magnetization: 6.07 μB per cell.



BaFeRh2: relaxed, GGA-PBE.

The space group is C2/m (No. 12) and the conventional cell measures 6.832, 6.841 and 3.372 Å, with angles of 90.00, 90.15 and 90.00 degrees. The distinct sites, in fractional coordinates, are Ba at (0.000, 0.000, 0.000), Fe at (0.000, 0.500, 0.000) and Rh at (0.250, 0.250, 0.500).

For the density of states at the Fermi level, the calculation gives 7.2 states/eV/cell. As for the total energy: -5.699 eV per atom. The formation energy is 0.573 eV/atom. As for the spin magnetization: 8.58 μB per cell.



BaFe2Rh: relaxed, GGA-PBE.

The space group is Fm-3m (No. 225) and the conventional cell measures 6.636, 6.636 and 6.636 Å, with angles of 90.00, 90.00 and 90.00 degrees. The distinct sites, in fractional coordinates, are Ba at (0.000, 0.000, 0.000), Fe at (0.250, 0.250, 0.250) and Rh at (0.000, 0.000, 0.500).

For the density of states at the Fermi level, the calculation gives 18.9 states/eV/cell. As for the total energy: -5.730 eV per atom. The formation energy is 0.819 eV/atom. As for the spin magnetization: 21.63 μB per cell.



BaFe4Rh: relaxed, GGA-PBE.

The space group is F-43m (No. 216) and the conventional cell measures 7.320, 7.320 and 7.320 Å, with angles of 90.00, 90.00 and 90.00 degrees. The distinct sites, in fractional coordinates, are Ba at (0.000, 0.000, 0.000), Fe at (0.123, 0.123, 0.623) and Rh at (0.250, 0.250, 0.250).

For the density of states at the Fermi level, the calculation gives 26.5 states/eV/cell. As for the total energy: -6.657 eV per atom. The formation energy is 0.530 eV/atom. As for the spin magnetization: 47.08 μB per cell.



BaFe2Rh: relaxed, GGA-PBE.

The space group is Immm (No. 71) and the conventional cell measures 3.100, 5.250 and 10.166 Å, with angles of 90.00, 90.00 and 90.00 degrees. The distinct sites, in fractional coordinates, are Ba at (0.000, 0.000, 0.000), Fe at (0.000, 0.500, 0.204) and Rh at (0.000, 0.000, 0.500).

For the density of states at the Fermi level, the calculation gives 9.0 states/eV/cell. As for the total energy: -5.865 eV per atom. The formation energy is 0.685 eV/atom. As for the spin magnetization: 13.06 μB per cell.



BaFeRh2: relaxed, GGA-PBE.

The space group is Pm (No. 6) and the conventional cell measures 3.246, 4.124 and 6.402 Å, with angles of 90.00, 94.49 and 90.00 degrees. The distinct sites, in fractional coordinates, are Ba at (0.000, 0.000, 0.000), Fe at (0.928, 0.500, 0.434), Rh at (0.443, 0.000, 0.462) and Rh at (0.475, 0.500, 0.728).

For the density of states at the Fermi level, the calculation gives 2.7 states/eV/cell. As for the total energy: -5.954 eV per atom. The formation energy is 0.318 eV/atom. As for the spin magnetization: 4.18 μB per cell.



BaFe2Rh: relaxed, GGA-PBE.

The space group is I4/mmm (No. 139) and the conventional cell measures 4.037, 4.037 and 9.468 Å, with angles of 90.00, 90.00 and 90.00 degrees. The distinct sites, in fractional coordinates, are Ba at (0.000, 0.000, 0.000), Fe at (0.000, 0.500, 0.250) and Rh at (0.000, 0.000, 0.500).

For the density of states at the Fermi level, the calculation gives 9.8 states/eV/cell. As for the total energy: -5.725 eV per atom. The formation energy is 0.825 eV/atom. As for the spin magnetization: 12.85 μB per cell.



BaFeRh2: relaxed, GGA-PBE.

The space group is F-43m (No. 216) and the conventional cell measures 6.718, 6.718 and 6.718 Å, with angles of 90.00, 90.00 and 90.00 degrees. The distinct sites, in fractional coordinates, are Ba at (0.000, 0.000, 0.000), Fe at (0.250, 0.250, 0.750), Rh at (0.000, 0.000, 0.500) and Rh at (0.250, 0.250, 0.250).

For the density of states at the Fermi level, the calculation gives 15.5 states/eV/cell. As for the total energy: -5.646 eV per atom. The formation energy is 0.627 eV/atom. As for the spin magnetization: 14.91 μB per cell.



BaFe2Rh: relaxed, GGA-PBE.

The space group is P4/mmm (No. 123) and the conventional cell measures 4.711, 4.711 and 3.274 Å, with angles of 90.00, 90.00 and 90.00 degrees. The distinct sites, in fractional coordinates, are Ba at (0.000, 0.000, 0.000), Fe at (0.000, 0.500, 0.500) and Rh at (0.500, 0.500, 0.000).

For the density of states at the Fermi level, the calculation gives 3.4 states/eV/cell. As for the total energy: -5.690 eV per atom. The formation energy is 0.860 eV/atom. As for the spin magnetization: 5.69 μB per cell.



BaFe2RhSe8: relaxed, GGA-PBE.

The space group is P-3 (No. 147) and the conventional cell measures 6.0928, 6.0928 and 8.7458 Å, with angles of 90.00, 90.00 and 120.00 degrees. The distinct sites, in fractional coordinates, are Ba at (0.0000, 0.0000, 0.0000), Fe at (0.3333, 0.6667, 0.7542), Rh at (0.0000, 0.0000, 0.5000), Se at (0.0067, 0.6545, 0.3473) and Se at (0.3333, 0.6667, 0.0040).

For the uncorrected formation energy, the calculation gives -414 meV per atom. For the density of states at the Fermi level, the calculation gives 5.3 states/eV/cell. As for the total energy: -4.920 eV per atom. As for the spin magnetization: 0.87 μB per cell.



BaYFe2Rh: relaxed, GGA-PBE.

The space group is P4/mmm (No. 123) and the conventional cell measures 4.965, 4.965 and 5.131 Å, with angles of 90.00, 90.00 and 90.00 degrees. The distinct sites, in fractional coordinates, are Ba at (0.000, 0.000, 0.000), Y at (0.500, 0.500, 0.500), Fe at (0.000, 0.500, 0.000) and Rh at (0.000, 0.000, 0.500).

For the density of states at the Fermi level, the calculation gives 15.7 states/eV/cell. As for the total energy: -4.972 eV per atom. The formation energy is 1.561 eV/atom. As for the spin magnetization: 4.68 μB per cell.



Ba2ZnFeRh: relaxed, GGA-PBE.

The space group is P4/mmm (No. 123) and the conventional cell measures 5.459, 5.459 and 4.619 Å, with angles of 90.00, 90.00 and 90.00 degrees. The distinct sites, in fractional coordinates, are Ba at (0.000, 0.500, 0.000), Zn at (0.000, 0.000, 0.500), Fe at (0.000, 0.000, 0.000) and Rh at (0.500, 0.500, 0.500).

For the density of states at the Fermi level, the calculation gives 8.2 states/eV/cell. As for the total energy: -3.504 eV per atom. The formation energy is 0.683 eV/atom. As for the spin magnetization: 0.00 μB per cell.



BaZnFeRh2: relaxed, GGA-PBE.

The space group is P4/mmm (No. 123) and the conventional cell measures 4.815, 4.815 and 4.590 Å, with angles of 90.00, 90.00 and 90.00 degrees. The distinct sites, in fractional coordinates, are Ba at (0.000, 0.000, 0.000), Zn at (0.500, 0.500, 0.500), Fe at (0.500, 0.500, 0.000) and Rh at (0.000, 0.500, 0.500).

For the density of states at the Fermi level, the calculation gives 6.1 states/eV/cell. As for the total energy: -4.790 eV per atom. The formation energy is 0.483 eV/atom. As for the spin magnetization: 3.49 μB per cell.



BaFeRu2: relaxed, GGA-PBE.

The space group is Pm (No. 6) and the conventional cell measures 3.962, 3.937 and 5.950 Å, with angles of 90.00, 93.83 and 90.00 degrees. The distinct sites, in fractional coordinates, are Ba at (0.000, 0.000, 0.000), Fe at (0.458, 0.500, 0.678), Ru at (0.516, 0.000, 0.471) and Ru at (0.948, 0.500, 0.475).

For the density of states at the Fermi level, the calculation gives 4.6 states/eV/cell. As for the total energy: -6.547 eV per atom. The formation energy is 0.687 eV/atom. As for the spin magnetization: 2.22 μB per cell.



Ba2FeRu2: relaxed, GGA-PBE.

The space group is I4/mmm (No. 139) and the conventional cell measures 3.562, 3.562 and 20.633 Å, with angles of 90.00, 90.00 and 90.00 degrees. The distinct sites, in fractional coordinates, are Ba at (0.000, 0.000, 0.110), Fe at (0.000, 0.000, 0.500) and Ru at (0.000, 0.500, 0.250).

For the density of states at the Fermi level, the calculation gives 12.4 states/eV/cell. As for the total energy: -5.387 eV per atom. The formation energy is 0.785 eV/atom. As for the spin magnetization: 4.15 μB per cell.



BaFeRu4: relaxed, GGA-PBE.

The space group is F-43m (No. 216) and the conventional cell measures 7.599, 7.599 and 7.599 Å, with angles of 90.00, 90.00 and 90.00 degrees. The distinct sites, in fractional coordinates, are Ba at (0.000, 0.000, 0.000), Fe at (0.250, 0.250, 0.750) and Ru at (0.124, 0.124, 0.376).

For the density of states at the Fermi level, the calculation gives 43.2 states/eV/cell. As for the total energy: -7.067 eV per atom. The formation energy is 0.848 eV/atom. As for the spin magnetization: 26.63 μB per cell.



BaFeRu2: relaxed, GGA-PBE.

The space group is C2/m (No. 12) and the conventional cell measures 5.866, 9.325 and 3.010 Å, with angles of 90.00, 115.62 and 90.00 degrees. The distinct sites, in fractional coordinates, are Ba at (0.000, 0.000, 0.000), Fe at (0.000, 0.500, 0.000) and Ru at (0.250, 0.250, 0.500).

For the density of states at the Fermi level, the calculation gives 10.3 states/eV/cell. As for the total energy: -6.113 eV per atom. The formation energy is 1.121 eV/atom. As for the spin magnetization: 9.79 μB per cell.